No. 1
! GGA-PBE CaTbPt2, optimized geometry; values from VASP
&SYSTEM
  ibrav = 0, nat = 4, ntyp = 3
/
ATOMIC_SPECIES
Pt 195.08 Pt.upf
Tb 158.93 Tb.upf
Ca 40.08 Ca.upf
ATOMIC_POSITIONS crystal
Pt 0.2532 0.2532 0.2404
Tb 0.6684 0.6684 0.9947
Pt 0.0811 0.0811 0.7567
Ca 0.4973 0.4973 0.5082
CELL_PARAMETERS angstrom
4.0210 0.0000 0.0000
2.0105 3.4823 0.0000
2.0105 1.1608 7.0251
! **DFT formation energy**: -348 kJ/mol of formula units

***

No. 2
! GGA-PBE CaTb3Pt2, optimized geometry; values from VASP
&SYSTEM
  ibrav = 0, nat = 12, ntyp = 3
/
ATOMIC_SPECIES
Tb 158.93 Tb.upf
Pt 195.08 Pt.upf
Ca 40.08 Ca.upf
ATOMIC_POSITIONS crystal
Tb 0.0000 0.4877 0.9199
Pt 0.5000 0.7530 0.8529
Pt 0.5000 0.2530 0.1471
Tb 0.0000 0.3546 0.3266
Pt 0.0000 0.7464 0.3377
Tb 0.5000 0.1446 0.8307
Tb 0.5000 0.6446 0.1693
Tb 0.0000 0.8546 0.6734
Tb 0.0000 0.9877 0.0801
Ca 0.5000 0.5137 0.5808
Pt 0.0000 0.2464 0.6623
Ca 0.5000 0.0137 0.4192
CELL_PARAMETERS angstrom
-3.5044 -2.9262 -1.4291
0.7052 -3.8561 6.1661
-5.9419 5.1968 3.9295
! **DFT formation energy**: -519 kJ/mol of formula units

***

No. 3
! GGA-PBE Ca3TbPt4, optimized geometry; values from VASP
&SYSTEM
  ibrav = 0, nat = 8, ntyp = 3
/
ATOMIC_SPECIES
Ca 40.08 Ca.upf
Pt 195.08 Pt.upf
Tb 158.93 Tb.upf
ATOMIC_POSITIONS crystal
Ca 0.2473 0.7474 0.4947
Ca 0.0000 0.5000 0.0000
Pt 0.6201 0.6199 0.2401
Pt 0.3799 0.3801 0.7599
Ca 0.7527 0.2526 0.5053
Pt 0.8799 0.8798 0.7599
Tb 0.5000 0.0000 0.0000
Pt 0.1201 0.1202 0.2401
CELL_PARAMETERS angstrom
-3.8611 -2.5486 1.6957
2.8838 -2.1128 3.3909
-0.9811 7.5452 1.9473
! **DFT formation energy**: -761 kJ/mol of formula units

***

No. 4
! GGA-PBE CaTb2Pt2, optimized geometry; values from VASP
&SYSTEM
  ibrav = 0, nat = 10, ntyp = 3
/
ATOMIC_SPECIES
Pt 195.08 Pt.upf
Tb 158.93 Tb.upf
Ca 40.08 Ca.upf
ATOMIC_POSITIONS crystal
Pt 0.4780 0.7501 0.0433
Pt 0.2710 0.7496 0.4567
Tb 0.7877 0.9255 0.7501
Ca 0.1252 0.2505 0.7500
Ca 0.8748 0.7495 0.2500
Pt 0.7290 0.2504 0.5433
Pt 0.5220 0.2499 0.9567
Tb 0.2123 0.0745 0.2499
Tb 0.4627 0.5750 0.7501
Tb 0.5373 0.4250 0.2499
CELL_PARAMETERS angstrom
5.3202 0.0010 -0.0001
2.6609 7.7927 0.0042
2.6563 0.0068 6.9227
! **Energy relative to the lowest polymorph listed for this composition**: 205 meV per atom
! **DFT formation energy**: -387 kJ/mol of formula units

***

No. 5
! GGA-PBE Ca3Tb3Pt4, optimized geometry; values from VASP
&SYSTEM
  ibrav = 0, nat = 10, ntyp = 3
/
ATOMIC_SPECIES
Ca 40.08 Ca.upf
Tb 158.93 Tb.upf
Pt 195.08 Pt.upf
ATOMIC_POSITIONS crystal
Ca 0.0000 0.0025 0.5050
Ca 0.5000 0.1578 0.8422
Tb 0.5000 0.8443 0.1557
Pt 0.0000 0.6417 0.3583
Pt 0.0000 0.1322 0.1490
Pt 0.0000 0.8510 0.8678
Ca 0.0000 0.4950 0.9975
Pt 0.0000 0.3739 0.6261
Tb 0.5000 0.6584 0.6570
Tb 0.5000 0.3430 0.3416
CELL_PARAMETERS angstrom
-1.4520 -3.5964 0.7281
6.0248 -1.4542 4.8322
-4.2579 2.9188 5.9257
! **DFT formation energy**: -941 kJ/mol of formula units

***

No. 6
! GGA-PBE CaTb2Pt3, optimized geometry; values from VASP
&SYSTEM
  ibrav = 0, nat = 6, ntyp = 3
/
ATOMIC_SPECIES
Pt 195.08 Pt.upf
Ca 40.08 Ca.upf
Tb 158.93 Tb.upf
ATOMIC_POSITIONS crystal
Pt 0.0000 0.0000 0.0000
Ca 0.5000 0.5000 0.5000
Tb 0.5000 0.5000 0.8312
Tb 0.5000 0.5000 0.1688
Pt 0.0000 0.0000 0.3191
Pt 0.0000 0.0000 0.6809
CELL_PARAMETERS angstrom
-3.1587 -1.4570 0.0326
1.2878 -2.8269 -1.5657
2.0996 -4.3383 9.5600
! **DFT formation energy**: -657 kJ/mol of formula units